# Pm2PaTl3Se6 (GGA-PBE, optimized geometry)
data_Pm2PaTl3Se6
_cell_length_a 7.343
_cell_length_b 7.343
_cell_length_c 8.214
_cell_angle_alpha 98.57
_cell_angle_beta 98.57
_cell_angle_gamma 119.97
_space_group_name_H-M_alt 'P 1'
_space_group_IT_number 1
_space_group_name_Hall 'P 1'
loop_
_atom_site_label
_atom_site_fract_x
_atom_site_fract_y
_atom_site_fract_z
Tl1 0.169 0.831 0.500
Se1 0.069 0.394 0.209
Se2 0.394 0.069 0.209
Se3 0.606 0.931 0.791
Pm1 0.666 0.334 0.000
Pa1 0.000 0.000 0.000
Se4 0.253 0.253 0.789
Tl2 0.831 0.169 0.500
Tl3 0.500 0.500 0.500
Pm2 0.334 0.666 0.000
Se5 0.931 0.606 0.791
Se6 0.747 0.747 0.211
# * crystal system: monoclinic
# * mass density: 7.29 Mg/m³
# * raw formation energy: -1226 meV per atom
# * DOS at the Fermi energy: 8.21 states/eV per cell
# * SG: C2/m